[1]
The following is a PBE calculation of PaReB after structural relaxation, from the Alexandria database.

Summary:
The calculation puts the uncorrected energy at -28.946 eV per formula unit. As for the symmetry: I4mm (107).

a b c (Å): 5.382 5.382 5.382
angles (deg): 147.21 147.21 47.06
Atoms (fractional coordinates):
1 Pa 0.000 0.000 0.000
2 Re 0.721 0.721 0.000
3 B 0.298 0.298 0.000

=====

[2]
The following is a PBE calculation of PaRe2B after structural relaxation, from the Alexandria database.

Summary:
The calculation puts the uncorrected energy at -39.407 eV per formula unit. As for the symmetry: R-3m (166).

a b c (Å): 8.156 8.156 8.156
angles (deg): 21.47 21.47 21.47
Atoms (fractional coordinates):
1 Pa 0.000 0.000 0.000
2 Re 0.112 0.112 0.112
3 Re 0.888 0.888 0.888
4 B 0.500 0.500 0.500

=====

[3]
The following is a PBE calculation of PaRe3B after structural relaxation, from the Alexandria database.

Summary:
The calculation puts the uncorrected energy at -54.094 eV per formula unit. As for the symmetry: Pm-3m (221).

a b c (Å): 4.271 4.271 4.271
angles (deg): 90.00 90.00 90.00
Atoms (fractional coordinates):
1 Pa 0.000 0.000 0.000
2 Re 0.000 0.500 0.500
3 Re 0.500 0.000 0.500
4 Re 0.500 0.500 0.000
5 B 0.500 0.500 0.500

=====

[4]
The following is a PBE calculation of PaRe2B after structural relaxation, from the Alexandria database.

Summary:
The calculation puts the uncorrected energy at -40.205 eV per formula unit. As for the symmetry: P4/mmm (123).

a b c (Å): 2.838 2.838 7.536
angles (deg): 90.00 90.00 90.00
Atoms (fractional coordinates):
1 Pa 0.000 0.000 0.000
2 Re 0.500 0.500 0.334
3 Re 0.500 0.500 0.666
4 B 0.000 0.000 0.500

=====

[5]
The following is a PBE calculation of PaRe2B2 after structural relaxation, from the Alexandria database.

Summary:
The calculation puts the uncorrected energy at -49.889 eV per formula unit. As for the symmetry: C2/m (12).

a b c (Å): 5.266 5.266 4.431
angles (deg): 103.34 103.34 34.73
Atoms (fractional coordinates):
1 Pa 0.000 0.000 0.000
2 Re 0.343 0.343 0.418
3 Re 0.657 0.657 0.582
4 B 0.269 0.269 0.893
5 B 0.731 0.731 0.107

=====

[6]
The following is a PBE calculation of PaRe4B4 after structural relaxation, from the Alexandria database.

Summary:
The calculation puts the uncorrected energy at -88.840 eV per formula unit. As for the symmetry: P4_2/n (86).

a b c (Å): 7.488 7.488 4.184
angles (deg): 90.00 90.00 90.00
Atoms (fractional coordinates):
1 Pa 0.250 0.250 0.250
2 Pa 0.750 0.750 0.750
3 Re 0.109 0.634 0.126
4 Re 0.134 0.891 0.626
5 Re 0.366 0.609 0.626
6 Re 0.391 0.866 0.126
7 Re 0.609 0.134 0.874
8 Re 0.634 0.391 0.374
9 Re 0.866 0.109 0.374
10 Re 0.891 0.366 0.874
11 B 0.040 0.917 0.128
12 B 0.083 0.540 0.628
13 B 0.417 0.960 0.628
14 B 0.460 0.583 0.128
15 B 0.540 0.417 0.872
16 B 0.583 0.040 0.372
17 B 0.917 0.460 0.372
18 B 0.960 0.083 0.872

=====

[7]
The following is a PBE calculation of PaReB4 after structural relaxation, from the Alexandria database.

Summary:
The calculation puts the uncorrected energy at -44.507 eV per formula unit. As for the symmetry: F-43m (216).

a b c (Å): 4.618 4.618 4.618
angles (deg): 60.00 60.00 60.00
Atoms (fractional coordinates):
1 Pa 0.000 0.000 0.000
2 Re 0.750 0.750 0.750
3 B 0.404 0.404 0.404
4 B 0.404 0.404 0.789
5 B 0.404 0.789 0.404
6 B 0.789 0.404 0.404

=====

[8]
The following is a PBE calculation of PaRe3B2 after structural relaxation, from the Alexandria database.

Summary:
The calculation puts the uncorrected energy at -61.443 eV per formula unit. As for the symmetry: C2/m (12).

a b c (Å): 6.494 6.494 7.710
angles (deg): 113.72 113.72 36.01
Atoms (fractional coordinates):
1 Pa 0.134 0.134 0.056
2 Pa 0.866 0.866 0.944
3 Re 0.048 0.048 0.372
4 Re 0.284 0.284 0.610
5 Re 0.387 0.387 0.336
6 Re 0.613 0.613 0.664
7 Re 0.716 0.716 0.390
8 Re 0.952 0.952 0.628
9 B 0.172 0.172 0.757
10 B 0.478 0.478 0.791
11 B 0.522 0.522 0.209
12 B 0.828 0.828 0.243

=====

| no. | energy of formation from the pure elements (kcal/mol of atoms) |
| --- | --- |
| 1 | -2.5 |
| 2 | 9.6 |
| 3 | -2.7 |
| 4 | 5.0 |
| 5 | -9.9 |
| 6 | -7.3 |
| 7 | 15.9 |
| 8 | -4.8 |